A relaxed PuSc2In2Hg2 crystal, computed with PBE.

## Properties
formation energy: -1.02 eV/f.u.
density of states at the Fermi level: 44.8 states/eV per cell

Unit cell a=4.8866 b=4.8866 c=25.0046 alpha=90.00 beta=90.00 gamma=120.00
Closest atoms and distances in Å follow each position.
Space group R-3m (No. 166, hexagonal axes)
Inequivalent atoms, fractional coordinates:
1 Pu 0.0000 0.0000 0.0000 [3 per cell]  2 Sc 3.30, 6 In 3.31
2 Sc 0.0000 0.0000 0.1320 [6 per cell]  3 Hg 2.92, 3 In 3.23
3 In 0.0000 0.0000 0.2640 [6 per cell]  3 Hg 2.94, 3 Sc 3.23
4 Hg 0.0000 0.0000 0.4354 [6 per cell]  3 Sc 2.92, 3 In 2.94, 1 Hg 3.23